BaTaN2O: optimized geometry, GGA-PBE.

a = 4.466 Å, b = 4.466 Å, c = 4.503 Å
α = 90.00°, β = 90.00°, γ = 90.00°
Space group P4/mmm (No. 123)
Asymmetric unit:
Ba  0.000  0.000  0.000 x1
Ta  0.500  0.500  0.500 x1
N  0.000  0.500  0.000 x2
O  0.000  0.000  0.500 x1

Output
The uncorrected formation energy comes out at 991 kJ/mol of formula units. The value obtained for the total energy is -25.12 eV per cell. Its total magnetization is 0.02 μB/cell. The density of states at the Fermi level comes out at 5.60 states/eV/f.u.

CsSm2Te3: optimized geometry, GGA-PBE.

a = 8.300 Å, b = 4.503 Å, c = 12.228 Å
α = 90.00°, β = 103.58°, γ = 90.00°
Space group P2_1/m (No. 11)
Asymmetric unit:
Cs  0.029  0.250  0.344 x2
Sm  0.256  0.250  0.993 x2
Sm  0.498  0.750  0.312 x2
Te  0.143  0.750  0.139 x2
Te  0.325  0.750  0.523 x2
Te  0.387  0.750  0.846 x2

Output
The uncorrected formation energy comes out at -750 kJ/mol of formula units. As for the relative energy among the computed polymorphs: 0.000 eV/atom. The value obtained for the total energy is -54.99 eV per cell. Its total magnetization is 0.00 μB/cell. The density of states at the Fermi level comes out at 2.57 states/eV/f.u.

Ca2AlZn3Ag4: optimized geometry, GGA-PBE.

a = 4.282 Å, b = 4.282 Å, c = 11.437 Å
α = 90.00°, β = 90.00°, γ = 90.00°
Space group P-4m2 (No. 115)
Asymmetric unit:
Ca  0.000  0.500  0.249 x2
Al  0.500  0.500  0.000 x1
Zn  0.000  0.000  0.000 x1
Zn  0.000  0.500  0.637 x2
Ag  0.000  0.000  0.500 x1
Ag  0.000  0.500  0.862 x2
Ag  0.500  0.500  0.500 x1

Output
The value obtained for the formation energy is -1.965 eV/f.u. The value obtained for the total energy is -24.94 eV per cell. Its total magnetization is 0.00 μB/cell. The density of states at the Fermi level comes out at 5.51 states/eV/f.u.

TiTeMo3: optimized geometry, GGA-PBE.

a = 4.660 Å, b = 4.660 Å, c = 4.660 Å
α = 90.00°, β = 90.00°, γ = 90.00°
Space group Pm-3m (No. 221)
Asymmetric unit:
Ti  0.000  0.000  0.000 x1
Te  0.500  0.500  0.500 x1
Mo  0.000  0.000  0.500 x3

Output
The uncorrected formation energy comes out at 695 kJ/mol of formula units. As for the relative energy among the computed polymorphs: 0.000 eV/atom. The value obtained for the total energy is -36.32 eV per cell. Its total magnetization is 1.75 μB/cell. The density of states at the Fermi level comes out at 6.18 states/eV/f.u.

NiBPC: optimized geometry, GGA-PBE.

a = 6.826 Å, b = 2.754 Å, c = 5.330 Å
α = 90.00°, β = 122.77°, γ = 90.00°
Space group Cm (No. 8)
Asymmetric unit:
Ni  0.000  0.000  0.000 x2
B  0.366  0.000  0.256 x2
P  0.194  0.000  0.774 x2
C  0.469  0.500  0.384 x2

Output
The value obtained for the formation energy is 0.362 eV/f.u. As for the relative energy among the computed polymorphs: 0.025 eV/atom. The value obtained for the total energy is -53.46 eV per cell. Its total magnetization is 0.00 μB/cell. The density of states at the Fermi level comes out at 0.93 states/eV/f.u.

PmErSnAu: optimized geometry, GGA-PBE.

a = 7.446 Å, b = 7.446 Å, c = 7.446 Å
α = 90.00°, β = 90.00°, γ = 90.00°
Space group F-43m (No. 216)
Asymmetric unit:
Pm  0.000  0.000  0.000 x4
Er  0.000  0.000  0.500 x4
Sn  0.250  0.250  0.750 x4
Au  0.250  0.250  0.250 x4

Output
The value obtained for the formation energy is -2.815 eV/f.u. The value obtained for the total energy is -77.64 eV per cell. Its total magnetization is 2.57 μB/cell. The density of states at the Fermi level comes out at 3.75 states/eV/f.u.

Hg2TeBr: optimized geometry, GGA-PBE.

a = 4.496 Å, b = 4.496 Å, c = 11.808 Å
α = 90.00°, β = 90.00°, γ = 90.00°
Space group I4mm (No. 107)
Asymmetric unit:
Hg  0.000  0.000  0.000 x2
Hg  0.000  0.000  0.242 x2
Te  0.000  0.000  0.762 x2
Br  0.000  0.000  0.487 x2

Output
The uncorrected formation energy comes out at -39 kJ/mol of formula units. As for the relative energy among the computed polymorphs: 0.155 eV/atom. The value obtained for the total energy is -11.64 eV per cell. Its total magnetization is 0.00 μB/cell. The density of states at the Fermi level comes out at 2.69 states/eV/f.u.

AcYSc: optimized geometry, GGA-PBE.

a = 5.002 Å, b = 5.002 Å, c = 8.520 Å
α = 90.00°, β = 90.00°, γ = 90.00°
Space group P4/nmm (No. 129, origin choice 2)
Asymmetric unit:
Ac  0.250  0.250  0.186 x2
Y  0.250  0.250  0.760 x2
Sc  0.250  0.750  0.500 x2

Output
The value obtained for the formation energy is 0.835 eV/f.u. As for the relative energy among the computed polymorphs: 0.176 eV/atom. The value obtained for the total energy is -32.14 eV per cell. Its total magnetization is 0.00 μB/cell. The density of states at the Fermi level comes out at 5.38 states/eV/f.u.

TaGeO: optimized geometry, GGA-PBE.

a = 12.522 Å, b = 2.928 Å, c = 5.550 Å
α = 90.00°, β = 101.92°, γ = 90.00°
Space group C2/m (No. 12)
Asymmetric unit:
Ta  0.145  0.000  0.062 x4
Ge  0.001  0.500  0.727 x4
O  0.238  0.000  0.796 x4

Output
The uncorrected formation energy comes out at -323 kJ/mol of formula units. As for the relative energy among the computed polymorphs: 0.113 eV/atom. The value obtained for the total energy is -99.09 eV per cell. Its total magnetization is 0.00 μB/cell. The density of states at the Fermi level comes out at 0.79 states/eV/f.u.

Tb2AlCd: optimized geometry, GGA-PBE.

a = 3.648 Å, b = 3.648 Å, c = 7.548 Å
α = 90.00°, β = 90.00°, γ = 90.00°
Space group P4/mmm (No. 123)
Asymmetric unit:
Tb  0.000  0.000  0.239 x2
Al  0.500  0.500  0.000 x1
Cd  0.500  0.500  0.500 x1

Output
The value obtained for the formation energy is -1.465 eV/f.u. The value obtained for the total energy is -15.38 eV per cell. Its total magnetization is 0.00 μB/cell. The density of states at the Fermi level comes out at 2.51 states/eV/f.u.

KBaCr2: optimized geometry, GGA-PBE.

a = 5.092 Å, b = 4.786 Å, c = 13.121 Å
α = 90.00°, β = 90.00°, γ = 90.00°
Space group Amm2 (No. 38)
Asymmetric unit:
K  0.000  0.000  0.000 x2
Ba  0.500  0.000  0.706 x2
Cr  0.000  0.000  0.291 x2
Cr  0.500  0.000  0.407 x2

Output
The value obtained for the formation energy is 4.056 eV/f.u. As for the relative energy among the computed polymorphs: 0.312 eV/atom. The value obtained for the total energy is -36.42 eV per cell. Its total magnetization is 19.79 μB/cell. The density of states at the Fermi level comes out at 3.51 states/eV/f.u.

Ti2CuPd2: optimized geometry, GGA-PBE.

a = 5.553 Å, b = 11.673 Å, c = 4.844 Å
α = 90.00°, β = 90.00°, γ = 90.00°
Space group Ibam (No. 72)
Asymmetric unit:
Ti  0.183  0.176  0.000 x8
Cu  0.000  0.000  0.250 x4
Pd  0.149  0.392  0.000 x8

Output
The value obtained for the formation energy is -1.565 eV/f.u. As for the relative energy among the computed polymorphs: 0.011 eV/atom. The value obtained for the total energy is -127.35 eV per cell. Its total magnetization is 0.00 μB/cell. The density of states at the Fermi level comes out at 3.95 states/eV/f.u.